Density functional theory data (GGA-PBE) for a geometry-optimized Cs3TbI8 structure.

Computed properties:
Uncorrected formation energy ... -1.083 eV per atom
Magnetization ... 0.0 μB/cell
Volume ... 54.8 Å³/atom
Final energy ... -2.7156 eV/atom
Space group ... I4/mmm (139)

Structure (POSCAR):
```
Cs3TbI8
1.0
-4.326 4.326 8.790
4.326 -4.326 8.790
4.326 4.326 -8.790
Cs Tb I
3 1 8
Cartesian
0.000 0.000 0.000
4.326 0.000 4.395
0.000 4.326 4.395
0.000 0.000 8.790
2.463 2.463 -1.890
1.863 -1.863 6.899
2.463 2.463 1.890
1.863 -1.863 10.680
-1.863 1.863 6.899
1.863 1.863 6.899
-1.863 1.863 10.680
1.863 1.863 10.680
```